6
Lattice="3.805 0.000 0.000 0.000 3.805 0.000 0.000 0.000 16.481" Properties=species:S:1:pos:R:3 comment="SrPmNd PBE optimized geometry" density_g_cm3=5.24 n_ef_per_ev_atom=1.23 formation_enthalpy_0k_kj_per_mol_atoms=8.2 dft_energy_ev_per_cell=-21.9 sg=I4mm de_polymorph_ev_per_atom=0.000 pbc="T T T"
Sr 0.000 0.000 0.000
Sr 1.903 1.903 8.240
Pm 0.000 0.000 5.296
Pm 1.903 1.903 13.536
Nd 0.000 0.000 11.199
Nd 1.903 1.903 2.958